A relaxed structure of DyYEr2S4. Source: Alexandria, functional PBE-GGA.

abc: 6.7434 3.8556 6.7653
angles: 90.00 109.07 90.00
Closest atoms and distances in Å follow each position.
Space group P2/m (No. 10)
Unique sites:
Dy  0.0000  0.0000  0.0000  6 S 2.76-2.77
Y  0.5000  0.5000  0.0000  6 S 2.77
Er  0.0000  0.5000  0.5000  6 S 2.73
Er  0.5000  0.0000  0.5000  6 S 2.73-2.74
S  0.2478  0.0000  0.7451  3 Er 2.73-2.74, 1 Dy 2.77, 2 Y 2.77
S  0.2510  0.5000  0.2545  3 Er 2.73, 2 Dy 2.76, 1 Y 2.77

The calculated total energy comes out at -6.56 eV per atom.